# 1
Material: LiTaCl2
Method: DFT, PBE
State: relaxed

Values from the calculation:
The density is 5.6 g cm⁻³. The value obtained for the uncorrected formation energy is -0.59 eV/atom. The calculation puts the magnetic moment at 0.000 μB per formula unit. For the offset from the most stable computed form, the calculation gives 59.3 kJ/mol of formula units. Its crystal system is tetragonal.

a = 3.116 Å, b = 3.116 Å, c = 7.882 Å
α = 90.00°, β = 90.00°, γ = 90.00°
Space group P4mm (No. 99)
Asymmetric unit:
Li1 0.000 0.000 0.000
Ta1 0.500 0.500 0.253
Cl1 0.000 0.000 0.463
Cl2 0.500 0.500 0.928

# 2
Material: LiTaCl2
Method: DFT, PBE
State: relaxed

Values from the calculation:
The density is 5.7 g cm⁻³. The value obtained for the uncorrected formation energy is -0.32 eV/atom. The calculation puts the magnetic moment at 0.000 μB per formula unit. For the offset from the most stable computed form, the calculation gives 160.8 kJ/mol of formula units. Its crystal system is monoclinic.

a = 6.365 Å, b = 7.648 Å, c = 3.096 Å
α = 90.00°, β = 90.45°, γ = 90.00°
Space group C2/m (No. 12)
Asymmetric unit:
Li1 0.000 0.000 0.000
Ta1 0.000 0.500 0.000
Cl1 0.250 0.250 0.000

- Look up the offset from the most stable computed form of the first one.
  59.3 kJ/mol of formula units